# Na3Sm3B2

A relaxed structure of Na3Sm3B2 (PBE, OQMD via LeMat-Bulk).

Properties
DFT total energy = -3.144 eV per atom

abc: 4.671 4.671 12.641
angles: 90.00 90.00 90.00
Fractional positions:
1 Na 0.000 0.000 0.000
2 Na 0.000 0.000 0.245
3 Na 0.000 0.000 0.755
4 Sm 0.000 0.000 0.500
5 Sm 0.500 0.500 0.000
6 Sm 0.500 0.500 0.500
7 B 0.000 0.500 0.594
8 B 0.500 0.000 0.406

=====

# NaSmB4

A relaxed structure of NaSmB4 (PBE, OQMD via LeMat-Bulk).

Properties
ΔE to the lowest computed polymorph = 0.28 eV/f.u.
DFT total energy = -5.429 eV per atom

abc: 3.190 3.190 8.293
angles: 90.00 90.00 120.00
Fractional positions:
1 Na 0.000 0.000 0.000
2 Sm 0.000 0.000 0.500
3 B 0.333 0.667 0.254
4 B 0.333 0.667 0.746
5 B 0.667 0.333 0.254
6 B 0.667 0.333 0.746

=====

# NaSmB

A relaxed structure of NaSmB (PBE, OQMD via LeMat-Bulk).

Properties
ΔE to the lowest computed polymorph = 1.64 eV/f.u.
DFT total energy = -3.214 eV per atom

abc: 6.402 6.402 6.402
angles: 90.00 90.00 90.00
Fractional positions:
1 Na 0.000 0.000 0.000
2 Na 0.000 0.500 0.500
3 Na 0.500 0.000 0.500
4 Na 0.500 0.500 0.000
5 Sm 0.250 0.250 0.750
6 Sm 0.250 0.750 0.250
7 Sm 0.750 0.250 0.250
8 Sm 0.750 0.750 0.750
9 B 0.000 0.000 0.500
10 B 0.000 0.500 0.000
11 B 0.500 0.000 0.000
12 B 0.500 0.500 0.500

=====

# NaTbB

A relaxed structure of NaTbB (PBE, OQMD via LeMat-Bulk).

Properties
ΔE to the lowest computed polymorph = 0.00 eV/f.u.
DFT total energy = -3.714 eV per atom

abc: 6.268 6.268 6.268
angles: 90.00 90.00 90.00
Fractional positions:
1 Na 0.000 0.000 0.000
2 Na 0.000 0.500 0.500
3 Na 0.500 0.000 0.500
4 Na 0.500 0.500 0.000
5 Tb 0.000 0.000 0.500
6 Tb 0.000 0.500 0.000
7 Tb 0.500 0.000 0.000
8 Tb 0.500 0.500 0.500
9 B 0.250 0.250 0.250
10 B 0.250 0.750 0.750
11 B 0.750 0.250 0.750
12 B 0.750 0.750 0.250

=====

The highest DFT total energy belongs to which entry?
Na3Sm3B2

=====

The lowest DFT total energy belongs to which entry?
NaSmB4

=====

Copy entry 3 word for word.
# NaSmB

A relaxed structure of NaSmB (PBE, OQMD via LeMat-Bulk).

Properties
ΔE to the lowest computed polymorph = 1.64 eV/f.u.
DFT total energy = -3.214 eV per atom

abc: 6.402 6.402 6.402
angles: 90.00 90.00 90.00
Fractional positions:
1 Na 0.000 0.000 0.000
2 Na 0.000 0.500 0.500
3 Na 0.500 0.000 0.500
4 Na 0.500 0.500 0.000
5 Sm 0.250 0.250 0.750
6 Sm 0.250 0.750 0.250
7 Sm 0.750 0.250 0.250
8 Sm 0.750 0.750 0.750
9 B 0.000 0.000 0.500
10 B 0.000 0.500 0.000
11 B 0.500 0.000 0.000
12 B 0.500 0.500 0.500